Record 1
Compound: Ho4NiB14
Source: the Alexandria database
Functional: SCAN
Structure: PBEsol geometry

Structure (extended XYZ):
```
38
Lattice="7.167 0.000 0.000 0.000 7.167 0.000 0.000 0.000 7.371" Properties=species:S:1:pos:R:3 pbc="T T T"
Ho 1.208 2.186 0.000
Ho 1.398 2.375 3.685
Ho 2.186 5.959 0.000
Ho 2.375 5.769 3.685
Ho 4.792 1.398 3.685
Ho 4.982 1.208 0.000
Ho 5.769 4.792 3.685
Ho 5.959 4.982 0.000
Ni 0.000 0.000 3.685
Ni 3.584 3.584 0.000
B 0.000 0.000 0.822
B 0.000 0.000 6.549
B 0.282 5.914 1.985
B 0.282 5.914 5.386
B 0.638 4.221 1.843
B 0.638 4.221 5.528
B 1.254 0.282 1.985
B 1.254 0.282 5.386
B 2.330 3.865 1.701
B 2.330 3.865 5.670
B 2.946 0.638 1.843
B 2.946 0.638 5.528
B 3.302 2.330 1.701
B 3.302 2.330 5.670
B 3.584 3.584 2.863
B 3.584 3.584 4.508
B 3.865 4.837 1.701
B 3.865 4.837 5.670
B 4.221 6.529 1.843
B 4.221 6.529 5.528
B 4.837 3.302 1.701
B 4.837 3.302 5.670
B 5.914 6.885 1.985
B 5.914 6.885 5.386
B 6.529 2.946 1.843
B 6.529 2.946 5.528
B 6.885 1.254 1.985
B 6.885 1.254 5.386
```

Summary:
DFT total energy (eV for the cell shown): -658.633
Total magnetic moment (μB per cell): 0.00
Space-group type: P4/mnc
ΔE_f (eV per atom): -0.694



Record 2
Compound: La2Ni
Source: the Alexandria database
Functional: SCAN
Structure: PBEsol geometry

Structure (extended XYZ):
```
24
Lattice="0.000 6.757 6.757 6.757 0.000 6.757 6.757 6.757 0.000" Properties=species:S:1:pos:R:3 pbc="T T T"
La 0.000 0.000 0.000
La 3.378 3.378 0.000
La 3.378 0.000 3.378
La 5.067 5.067 2.495
La 5.067 2.495 5.067
La 7.640 5.067 5.067
La 8.446 8.446 5.874
La 8.446 5.874 8.446
La 11.018 8.446 8.446
La 0.000 3.378 3.378
La 2.495 5.067 5.067
La 5.067 7.640 5.067
La 5.067 5.067 7.640
La 5.874 8.446 8.446
La 8.446 11.018 8.446
La 8.446 8.446 11.018
Ni 10.395 6.496 6.496
Ni 3.118 3.118 3.118
Ni 7.017 7.017 3.118
Ni 7.017 3.118 7.017
Ni 6.496 10.395 6.496
Ni 6.496 6.496 10.395
Ni 10.395 10.395 10.395
Ni 3.118 7.017 7.017
```

Summary:
DFT total energy (eV for the cell shown): -822.228
Total magnetic moment (μB per cell): 0.00
Space-group type: Fd-3m
ΔE_f (eV per atom): -0.132